Material: ScCr2As
Method: DFT, PBE-GGA
State: relaxed

Summary:
raw total energy: -7.23 eV/atom
spin magnetization: 0.00 μB/atom

```
ScCr2As
1.0
2.8482 0.0032 0.0000
-0.9486 2.6856 0.0000
0.0000 0.0000 7.9596
As Cr Sc
1 2 1
Cartesian
0.9498 1.3444 5.9697 As
0.0000 0.0000 7.7261 Cr
0.0000 0.0000 4.2133 Cr
0.9498 1.3444 1.9899 Sc
```

---

Material: ScCrAs2
Method: DFT, PBE-GGA
State: relaxed

Summary:
raw total energy: -7.02 eV/atom
spin magnetization: 0.70 μB/atom

```
ScCrAs2
1.0
-1.7689 3.9154 4.5389
-4.5640 1.3691 4.0444
-1.4657 0.4319 6.0602
Sc Cr As
1 1 2
Cartesian
-5.8489 4.2873 10.9827 Sc
-1.9496 1.4291 3.6609 Cr
-7.7312 5.6670 14.5170 As
-3.9667 2.9076 7.4483 As
```

---

Material: ScCrAs2
Method: DFT, PBE-GGA
State: relaxed

Summary:
raw total energy: -6.57 eV/atom
spin magnetization: 0.75 μB/atom

```
ScCrAs2
1.0
-0.5833 5.0332 2.7164
-4.4792 1.2959 -3.3630
-6.3034 0.5579 3.6964
Sc Cr As
2 2 4
Cartesian
-2.5313 3.1645 -0.3233 Sc
-6.6569 2.5091 0.0051 Sc
0.0000 0.0000 0.0000 Cr
-4.7090 4.3778 3.0448 Cr
-2.5206 3.6223 2.2960 As
-4.4280 1.4034 -0.9327 As
-6.4701 2.7467 2.6469 As
-9.3131 6.0014 2.0896 As
```

---

Material: ScCrAs2
Method: DFT, PBE-GGA
State: relaxed

Summary:
raw total energy: -6.86 eV/atom
spin magnetization: 0.73 μB/atom

```
ScCrAs2
1.0
6.4896 -0.1629 -0.0513
4.7064 4.4711 0.0513
-5.5457 -2.2899 2.4789
As Cr Sc
2 1 1
Cartesian
0.3612 0.1390 0.0000 As
2.9584 2.3905 1.2651 As
5.1279 1.9733 0.0000 Cr
2.8006 -0.3303 1.2138 Sc
```

---

Material: ScCrAs2
Method: DFT, PBE-GGA
State: relaxed

Summary:
raw total energy: -6.72 eV/atom
spin magnetization: 0.93 μB/atom

```
ScCrAs2
1.0
-4.0158 -1.9176 1.7319
2.4398 -1.7602 3.7084
-0.5546 2.6099 1.6036
As Cr Sc
2 1 1
Cartesian
0.0000 0.0000 0.0000 As
-0.7880 -1.8389 2.7202 As
-2.2852 0.3461 1.6678 Cr
0.9426 0.4248 2.6560 Sc
```

---

Material: ScCrAs
Method: DFT, PBE-GGA
State: relaxed

Summary:
raw total energy: -7.19 eV/atom
spin magnetization: 0.02 μB/atom

```
ScCrAs
1.0
5.1552 -0.0072 0.0080
4.1476 3.0621 0.0100
1.0076 0.3297 3.0515
As Cr Sc
1 1 1
Cartesian
9.0722 2.9791 0.1024 As
3.9977 1.3120 1.9581 Cr
6.5434 2.1483 1.0271 Sc
```

---

Material: ScCrAs2
Method: DFT, PBE-GGA
State: relaxed

Summary:
raw total energy: -6.72 eV/atom
spin magnetization: 0.77 μB/atom

```
ScCrAs2
1.0
-1.3822 1.1007 3.2167
1.9832 -2.1272 1.5800
4.8162 3.6611 0.8167
As Cr Sc
2 1 1
Cartesian
0.1264 -0.0626 0.0758 As
3.2732 0.8296 1.1226 As
1.0087 0.9338 2.2075 Cr
4.4084 1.7008 3.4059 Sc
```

---

Material: ScCrAs
Method: DFT, PBE-GGA
State: relaxed

Summary:
raw total energy: -6.71 eV/atom
spin magnetization: 1.68 μB/atom

```
ScCrAs
1.0
-4.5178 -0.4291 -0.0245
-2.1587 -1.0498 -3.8513
-1.8875 -4.0967 -0.4990
As Cr Sc
1 1 1
Cartesian
0.0000 0.0000 0.0000 As
-4.2820 -2.7878 -2.1874 Cr
-6.4230 -4.1817 -3.2811 Sc
```

---

Material: ScCrAsSe2
Method: DFT, PBE-GGA
State: relaxed

Summary:
raw total energy: -5.68 eV/atom
ΔE_f (raw): -0.170 eV per atom
spin magnetization: 0.52 μB/atom

```
ScCrAsSe2
1.0
-3.3435 -1.9325 -2.9964
-1.7818 -2.6524 3.6988
-2.9272 3.4334 1.0520
Sc Cr As Se
1 1 1 2
Cartesian
-4.0262 -0.5757 0.8772 Sc
0.0000 0.0000 0.0000 Cr
-1.4636 1.7167 0.5260 As
-0.8909 -1.3262 1.8494 Se
-1.6717 -0.9662 -1.4982 Se
```

---

Material: ScCrAsSe2
Method: DFT, PBE-GGA
State: relaxed

Summary:
raw total energy: -4.94 eV/atom
ΔE_f (raw): 0.575 eV per atom
spin magnetization: 0.03 μB/atom

```
ScCrAsSe2
1.0
5.0469 0.0000 0.0000
0.0000 5.0469 0.0000
0.0000 0.0000 5.1232
Sc Cr As Se
1 1 1 2
Cartesian
0.0000 0.0000 0.0000 Sc
2.5234 2.5234 2.5616 Cr
0.0000 0.0000 2.5616 As
0.0000 2.5234 0.0000 Se
2.5234 0.0000 0.0000 Se
```

---

Material: YScCr2As
Method: DFT, PBE-GGA
State: relaxed

Summary:
raw total energy: -6.00 eV/atom
spin magnetization: 0.00 μB/atom

```
YScCr2As
1.0
-2.6094 2.7502 2.0059
-4.4318 -2.0037 -3.0180
-0.7479 -2.9289 3.0428
Y Cr As Sc
1 2 1 1
Cartesian
-2.2159 -1.0018 -1.5090 Y
-0.3740 -1.4644 1.5214 Cr
-1.3047 1.3751 1.0029 Cr
-3.8946 -1.0912 1.0153 As
0.0000 0.0000 0.0000 Sc
```

---

Material: CrAsSe2
Method: DFT, PBE-GGA
State: relaxed

Summary:
raw total energy: -4.80 eV/atom
ΔE_f (raw): 0.510 eV per atom
spin magnetization: 0.76 μB/atom

```
CrAsSe2
1.0
-2.3442 -4.0838 -0.0109
0.2429 -2.8442 -3.7449
2.3554 -4.0676 0.2817
As Cr Se
1 1 2
Cartesian
0.1271 -5.4978 -1.7371 As
0.1906 -8.2466 -2.6056 Cr
0.0000 0.0000 0.0000 Se
0.0635 -2.7489 -0.8685 Se
```